Record 1
meta-GGA SCAN ZrMn2As, PBEsol geometry; formation enthalpy at 0 K = -0.27 eV per atom; E_tot = -22.124 eV per atom
1.0
-2.5650 1.0088 1.6899
1.2757 -1.2615 2.6895
2.5814 4.8242 1.0384
Mn Zr As
2 1 1
direct
0.0000 0.0000 0.7187 Mn
0.0000 0.0000 0.2813 Mn
0.5000 0.5000 0.0000 Zr
0.5000 0.5000 0.5000 As

Record 2
meta-GGA SCAN MoAs3, PBEsol geometry; ΔE to the lowest computed polymorph = 0.00 kcal/mol of atoms; formation enthalpy at 0 K = 0.40 eV per atom; E_tot = -23.467 eV per atom
1.0
-3.7163 0.2023 0.3114
1.4983 -1.8643 4.1613
1.4388 4.5251 -0.7001
As Mo
3 1
direct
0.0000 0.0000 0.5000 As
0.5000 0.5000 0.5000 As
0.0000 0.5000 0.0000 As
0.5000 0.0000 0.0000 Mo